(1)
A plane-wave DFT calculation with GGA-PBE was carried out for a geometry-optimized CaDy2HoAu4 structure.

Cell and atoms, written as POSCAR:
```
CaDy2HoAu4
1.0
2.539 1.466 8.356
-2.539 1.466 8.356
0.000 -2.932 8.356
Ca Dy Ho Au
1 2 1 4
Cartesian
0.000 0.000 0.000
0.000 0.000 6.307
0.000 0.000 18.762
0.000 0.000 12.535
0.000 0.000 3.264
0.000 0.000 9.505
0.000 0.000 15.564
0.000 0.000 21.805
```

Output
Its formation energy is -0.85 eV per atom. As for the crystal system: trigonal.

***

(2)
A plane-wave DFT calculation with GGA-PBE was carried out for a geometry-optimized CaDyIrAu structure.

Cell and atoms, written as POSCAR:
```
CaDyIrAu
1.0
0.000 3.504 3.504
3.504 0.000 3.504
3.504 3.504 0.000
Ca Dy Ir Au
1 1 1 1
Cartesian
0.000 0.000 0.000
3.504 3.504 3.504
5.255 5.255 5.255
1.752 1.752 1.752
```

Output
Its formation energy is -0.66 eV per atom. As for the crystal system: cubic.

***

(3)
A plane-wave DFT calculation with GGA-PBE was carried out for a geometry-optimized CaLaDy2Au4 structure.

Cell and atoms, written as POSCAR:
```
CaLaDy2Au4
1.0
2.570 1.484 8.539
-2.570 1.484 8.539
0.000 -2.967 8.539
Ca La Dy Au
1 1 2 4
Cartesian
0.000 0.000 0.000
0.000 0.000 12.809
0.000 0.000 6.513
0.000 0.000 19.104
0.000 0.000 3.088
0.000 0.000 9.650
0.000 0.000 15.968
0.000 0.000 22.530
```

Output
Its formation energy is -0.81 eV per atom. As for the crystal system: trigonal.

***

(4)
A plane-wave DFT calculation with GGA-PBE was carried out for a geometry-optimized LiCaDyAu structure.

Cell and atoms, written as POSCAR:
```
LiCaDyAu
1.0
0.000 3.630 3.630
3.630 0.000 3.630
3.630 3.630 0.000
Li Ca Dy Au
1 1 1 1
Cartesian
0.000 0.000 0.000
5.445 5.445 5.445
1.815 1.815 1.815
3.630 3.630 3.630
```

Output
Its formation energy is -0.40 eV per atom. As for the crystal system: cubic.

***

What did the first record say?
A plane-wave DFT calculation with GGA-PBE was carried out for a geometry-optimized CaDy2HoAu4 structure.

Cell and atoms, written as POSCAR:
```
CaDy2HoAu4
1.0
2.539 1.466 8.356
-2.539 1.466 8.356
0.000 -2.932 8.356
Ca Dy Ho Au
1 2 1 4
Cartesian
0.000 0.000 0.000
0.000 0.000 6.307
0.000 0.000 18.762
0.000 0.000 12.535
0.000 0.000 3.264
0.000 0.000 9.505
0.000 0.000 15.564
0.000 0.000 21.805
```

Output
Its formation energy is -0.85 eV per atom. As for the crystal system: trigonal.